Entry from Alexandria via LeMat-Bulk: a PBEsol-optimized structure of Os4Se (meta-GGA SCAN).

## Properties
Total energy: -60.7640 eV/atom
Polymorph energy (0 for the lowest one): 0 kJ/mol of formula units
Formation energy (no corrections): 0.76 eV per atom

Cell lengths 4.736, 4.736, 4.736 Å; angles 99.68, 99.68, 131.58 degrees
Fractional positions:
1 Os 0.101 0.314 0.416
2 Os 0.314 0.899 0.213
3 Os 0.686 0.101 0.787
4 Os 0.899 0.686 0.584
5 Se 0.500 0.500 0.000

---

Entry from Alexandria via LeMat-Bulk: a PBEsol-optimized structure of Os4Se (meta-GGA SCAN).

## Properties
Total energy: -59.7812 eV/atom
Polymorph energy (0 for the lowest one): 474 kJ/mol of formula units
Formation energy (no corrections): 1.74 eV per atom

Cell lengths 4.767, 4.767, 4.767 Å; angles 109.47, 109.47, 109.47 degrees
Fractional positions:
1 Os 0.000 0.000 0.500
2 Os 0.000 0.500 0.000
3 Os 0.500 0.000 0.000
4 Os 0.500 0.500 0.500
5 Se 0.000 0.000 0.000

---

Entry from Alexandria via LeMat-Bulk: a PBEsol-optimized structure of OsSe3 (meta-GGA SCAN).

## Properties
Total energy: -32.0071 eV/atom
Formation energy (no corrections): 1.02 eV per atom

Cell lengths 4.543, 4.543, 4.543 Å; angles 60.00, 60.00, 60.00 degrees
Fractional positions:
1 Os 0.000 0.000 0.000
2 Se 0.250 0.250 0.250
3 Se 0.500 0.500 0.500
4 Se 0.750 0.750 0.750

---

Entry from Alexandria via LeMat-Bulk: a PBEsol-optimized structure of Si2OsSe (meta-GGA SCAN).

## Properties
Total energy: -27.3515 eV/atom
Formation energy (no corrections): 0.65 eV per atom

Cell lengths 4.357, 4.357, 4.357 Å; angles 60.00, 60.00, 60.00 degrees
Fractional positions:
1 Si 0.000 0.000 0.000
2 Si 0.250 0.250 0.250
3 Os 0.750 0.750 0.750
4 Se 0.500 0.500 0.500

---

Entry from Alexandria via LeMat-Bulk: a PBEsol-optimized structure of SiOs3Se (meta-GGA SCAN).

## Properties
Total energy: -47.5308 eV/atom
Formation energy (no corrections): 1.62 eV per atom

Cell lengths 4.382, 4.382, 4.382 Å; angles 90.00, 90.00, 90.00 degrees
Fractional positions:
1 Si 0.000 0.000 0.000
2 Os 0.000 0.000 0.500
3 Os 0.000 0.500 0.000
4 Os 0.500 0.000 0.000
5 Se 0.500 0.500 0.500

---

Entry from Alexandria via LeMat-Bulk: a PBEsol-optimized structure of SiOs4Se (meta-GGA SCAN).

## Properties
Total energy: -51.5550 eV/atom
Formation energy (no corrections): 1.38 eV per atom

Cell lengths 5.148, 5.148, 5.148 Å; angles 60.00, 60.00, 60.00 degrees
Fractional positions:
1 Si 0.000 0.000 0.000
2 Os 0.375 0.375 0.375
3 Os 0.375 0.375 0.875
4 Os 0.375 0.875 0.375
5 Os 0.875 0.375 0.375
6 Se 0.750 0.750 0.750

---

Entry from Alexandria via LeMat-Bulk: a PBEsol-optimized structure of Si2OsSe (meta-GGA SCAN).

## Properties
Total energy: -27.8941 eV/atom
Formation energy (no corrections): 0.10 eV per atom

Cell lengths 4.224, 4.282, 4.282 Å; angles 61.73, 90.00, 90.00 degrees
Fractional positions:
1 Si 0.000 0.000 0.000
2 Si 0.500 0.205 0.205
3 Os 0.500 0.847 0.847
4 Se 0.000 0.645 0.645

---

Entry from Alexandria via LeMat-Bulk: a PBEsol-optimized structure of Sr2OsSe (meta-GGA SCAN).

## Properties
Total energy: -34.3072 eV/atom
Formation energy (no corrections): -0.18 eV per atom

Cell lengths 5.290, 5.290, 3.556 Å; angles 90.00, 90.00, 90.00 degrees
Fractional positions:
1 Sr 0.000 0.500 0.000
2 Sr 0.500 0.000 0.000
3 Os 0.000 0.000 0.500
4 Se 0.500 0.500 0.500

---

Entry from Alexandria via LeMat-Bulk: a PBEsol-optimized structure of TaOs2Se (meta-GGA SCAN).

## Properties
Total energy: -57.3569 eV/atom
Formation energy (no corrections): 0.25 eV per atom

Cell lengths 5.020, 5.020, 4.459 Å; angles 93.59, 93.59, 34.14 degrees
Fractional positions:
1 Ta 0.000 0.000 0.000
2 Os 0.281 0.281 0.716
3 Os 0.554 0.554 0.540
4 Se 0.764 0.764 0.248

---

Entry from Alexandria via LeMat-Bulk: a PBEsol-optimized structure of Ta2Os2Se (meta-GGA SCAN).

## Properties
Total energy: -59.2201 eV/atom
Formation energy (no corrections): 0.18 eV per atom

Cell lengths 6.189, 6.189, 6.189 Å; angles 140.01, 140.01, 57.84 degrees
Fractional positions:
1 Ta 0.250 0.750 0.500
2 Ta 0.750 0.250 0.500
3 Os 0.120 0.120 0.000
4 Os 0.880 0.880 0.000
5 Se 0.500 0.500 0.000

---

Entry from Alexandria via LeMat-Bulk: a PBEsol-optimized structure of TaOsSe (meta-GGA SCAN).

## Properties
Total energy: -52.1244 eV/atom
Formation energy (no corrections): 0.72 eV per atom

Cell lengths 4.174, 4.174, 4.174 Å; angles 60.00, 60.00, 60.00 degrees
Fractional positions:
1 Ta 0.000 0.000 0.000
2 Os 0.500 0.500 0.500
3 Se 0.750 0.750 0.750

---

Entry from Alexandria via LeMat-Bulk: a PBEsol-optimized structure of TaOs2Se (meta-GGA SCAN).

## Properties
Total energy: -57.0977 eV/atom
Formation energy (no corrections): 0.51 eV per atom

Cell lengths 2.808, 2.808, 8.874 Å; angles 90.00, 90.00, 114.44 degrees
Fractional positions:
1 Ta 0.000 0.000 0.000
2 Os 0.500 0.500 0.238
3 Os 0.500 0.500 0.762
4 Se 0.000 0.000 0.500